(1)
Computed, not measured: an optimized crystal structure of NbCdTe2 at the GGA-PBE level of DFT.

Structure (CIF):
```
data_NbCdTe2
_chemical_formula_sum 'Nb3 Cd3 Te6'
_space_group_name_H-M_alt 'R -3 m'
_space_group_IT_number 166
_space_group_name_Hall '-R 3 2"'
_cell_length_a 3.8340
_cell_length_b 3.8340
_cell_length_c 27.7415
_cell_angle_alpha 90.00
_cell_angle_beta 90.00
_cell_angle_gamma 120.00
loop_
_atom_site_label
_atom_site_fract_x
_atom_site_fract_y
_atom_site_fract_z
Nb1 0.0000 0.0000 0.0000
Cd1 0.0000 0.0000 0.5000
Te1 0.0000 0.0000 0.0956
```

Properties
- formation energy from raw total energies (eV/f.u.) = 2.3
- magnetic moment (μB/f.u.) = 1.0
- energy (eV/atom) = -3.740

(2)
Computed, not measured: an optimized crystal structure of NbCd2Te at the GGA-PBE level of DFT.

Structure (CIF):
```
data_NbCd2Te
_chemical_formula_sum 'Nb4 Cd8 Te4'
_space_group_name_H-M_alt 'I -4 2 d'
_space_group_IT_number 122
_space_group_name_Hall 'I -4 2bw'
_cell_length_a 8.333
_cell_length_b 8.333
_cell_length_c 5.586
_cell_angle_alpha 90.00
_cell_angle_beta 90.00
_cell_angle_gamma 90.00
loop_
_atom_site_label
_atom_site_fract_x
_atom_site_fract_y
_atom_site_fract_z
Nb1 0.000 0.000 0.000
Cd1 0.237 0.750 0.125
Te1 0.000 0.000 0.500
```

Properties
- formation energy from raw total energies (eV/f.u.) = 1.7
- magnetic moment (μB/f.u.) = 0.0
- energy (eV/atom) = -3.324

(3)
Computed, not measured: an optimized crystal structure of NbCdTe2 at the GGA-PBE level of DFT.

Structure (CIF):
```
data_NbCdTe2
_chemical_formula_sum 'Nb4 Cd4 Te8'
_space_group_name_H-M_alt 'I -4 2 d'
_space_group_IT_number 122
_space_group_name_Hall 'I -4 2bw'
_cell_length_a 6.692
_cell_length_b 6.692
_cell_length_c 12.551
_cell_angle_alpha 90.00
_cell_angle_beta 90.00
_cell_angle_gamma 90.00
loop_
_atom_site_label
_atom_site_fract_x
_atom_site_fract_y
_atom_site_fract_z
Nb1 0.000 0.000 0.000
Cd1 0.000 0.000 0.500
Te1 0.237 0.250 0.125
```

Properties
- formation energy from raw total energies (eV/f.u.) = 0.4
- magnetic moment (μB/f.u.) = 2.9
- energy (eV/atom) = -4.214

(4)
Computed, not measured: an optimized crystal structure of NbCdTe2 at the GGA-PBE level of DFT.

Structure (CIF):
```
data_NbCdTe2
_chemical_formula_sum 'Nb3 Cd3 Te6'
_space_group_name_H-M_alt 'R -3 m'
_space_group_IT_number 166
_space_group_name_Hall '-R 3 2"'
_cell_length_a 3.6153
_cell_length_b 3.6153
_cell_length_c 31.5709
_cell_angle_alpha 90.00
_cell_angle_beta 90.00
_cell_angle_gamma 120.00
loop_
_atom_site_label
_atom_site_fract_x
_atom_site_fract_y
_atom_site_fract_z
Nb1 0.0000 0.0000 0.0000
Cd1 0.0000 0.0000 0.5000
Te1 0.0000 0.0000 0.3927
```

Properties
- formation energy from raw total energies (eV/f.u.) = -0.9
- magnetic moment (μB/f.u.) = 0.0
- energy (eV/atom) = -4.550

(5)
Computed, not measured: an optimized crystal structure of NbCd3Te at the GGA-PBE level of DFT.

Structure (CIF):
```
data_NbCd3Te
_chemical_formula_sum 'Nb1 Cd3 Te1'
_space_group_name_H-M_alt 'P m -3 m'
_space_group_IT_number 221
_space_group_name_Hall '-P 4 2 3'
_cell_length_a 5.477
_cell_length_b 5.477
_cell_length_c 5.477
_cell_angle_alpha 90.00
_cell_angle_beta 90.00
_cell_angle_gamma 90.00
loop_
_atom_site_label
_atom_site_fract_x
_atom_site_fract_y
_atom_site_fract_z
Nb1 0.000 0.000 0.000
Cd1 0.000 0.000 0.500
Te1 0.500 0.500 0.500
```

Properties
- formation energy from raw total energies (eV/f.u.) = 5.0
- magnetic moment (μB/f.u.) = 1.3
- relative energy among the computed polymorphs (eV per atom) = 0.0000
- energy (eV/atom) = -2.199

(6)
Computed, not measured: an optimized crystal structure of Nb3CdTe at the GGA-PBE level of DFT.

Structure (CIF):
```
data_Nb3CdTe
_chemical_formula_sum 'Nb3 Cd1 Te1'
_space_group_name_H-M_alt 'P m -3 m'
_space_group_IT_number 221
_space_group_name_Hall '-P 4 2 3'
_cell_length_a 5.045
_cell_length_b 5.045
_cell_length_c 5.045
_cell_angle_alpha 90.00
_cell_angle_beta 90.00
_cell_angle_gamma 90.00
loop_
_atom_site_label
_atom_site_fract_x
_atom_site_fract_y
_atom_site_fract_z
Nb1 0.000 0.000 0.500
Cd1 0.500 0.500 0.500
Te1 0.000 0.000 0.000
```

Properties
- formation energy from raw total energies (eV/f.u.) = 6.4
- magnetic moment (μB/f.u.) = 0.0
- relative energy among the computed polymorphs (eV per atom) = 0.0000
- energy (eV/atom) = -5.572